# 1
Crystalline Pm3SeS3 at its relaxed geometry, computed with PBE-GGA.

Summary:
Distance to the lowest polymorph of the same formula ... 250 meV/atom
Space group ... No. 160
N(E_F) ... 3.5 states/eV/cell
Uncorrected formation energy ... -1.74 eV per atom

Lattice parameters (Å, degrees): 5.8402 5.8402 5.8402 103.72 103.72 103.72
With the nearest neighbours (Å) after each atom.
Positions (direct):
1 Pm 0.1761 0.1761 0.6477  3 S 2.82-2.85, 2 Se 2.94
2 Pm 0.1761 0.6477 0.1761  3 S 2.82-2.85, 2 Se 2.94
3 Pm 0.6477 0.1761 0.1761  3 S 2.82-2.85, 2 Se 2.94
4 Se 0.1225 0.1225 0.1225  6 Pm 2.94
5 S 0.0093 0.5769 0.5769  3 Pm 2.82-2.85
6 S 0.5769 0.0093 0.5769  3 Pm 2.82-2.85
7 S 0.5769 0.5769 0.0093  3 Pm 2.82-2.85

---

# 2
Crystalline Pm3Se2S at its relaxed geometry, computed with PBE-GGA.

Summary:
Distance to the lowest polymorph of the same formula ... 162 meV/atom
Space group ... No. 63
N(E_F) ... 4.1 states/eV/cell
Uncorrected formation energy ... -1.69 eV per atom

Lattice parameters (Å, degrees): 8.5034 8.5034 5.7923 90.00 90.00 60.65
With the nearest neighbours (Å) after each atom.
Positions (direct):
1 Pm 0.1823 0.8177 0.7500  3 S 2.79-2.92, 2 Se 2.89
2 Pm 0.2203 0.5028 0.2500  1 S 2.75, 4 Se 2.90-3.02
3 Pm 0.4972 0.7797 0.2500  1 S 2.75, 4 Se 2.90-3.02
4 Pm 0.5028 0.2203 0.7500  1 S 2.75, 4 Se 2.90-3.02
5 Pm 0.7797 0.4972 0.7500  1 S 2.75, 4 Se 2.90-3.02
6 Pm 0.8177 0.1823 0.2500  3 S 2.79-2.92, 2 Se 2.89
7 Se 0.1303 0.5060 0.7500  5 Pm 2.89-3.02
8 Se 0.4940 0.8697 0.7500  5 Pm 2.89-3.02
9 Se 0.5060 0.1303 0.2500  5 Pm 2.89-3.02
10 Se 0.8697 0.4940 0.2500  5 Pm 2.89-3.02
11 S 0.1425 0.8575 0.2500  5 Pm 2.75-2.92
12 S 0.8575 0.1425 0.7500  5 Pm 2.75-2.92

---

# 3
Crystalline Pm4Se2S at its relaxed geometry, computed with PBE-GGA.

Summary:
Space group ... No. 2
N(E_F) ... 3.7 states/eV/cell
Uncorrected formation energy ... -1.57 eV per atom

Lattice parameters (Å, degrees): 4.0486 6.9997 7.9230 115.68 104.74 90.03
With the nearest neighbours (Å) after each atom.
Positions (direct):
1 Pm 0.1172 0.4456 0.2330  1 S 2.82, 3 Se 2.93-2.97
2 Pm 0.3813 0.0414 0.7617  2 S 2.83, 3 Se 2.93-2.99
3 Pm 0.6187 0.9586 0.2383  2 S 2.83, 3 Se 2.93-2.99
4 Pm 0.8828 0.5544 0.7670  1 S 2.82, 3 Se 2.93-2.97
5 Se 0.2555 0.2581 0.5116  6 Pm 2.93-2.99
6 Se 0.7445 0.7419 0.4884  6 Pm 2.93-2.99
7 S 0.0000 0.0000 0.0000  6 Pm 2.82-2.83

---

# 4
Crystalline Pm2SeS2 at its relaxed geometry, computed with PBE-GGA.

Summary:
Distance to the lowest polymorph of the same formula ... 157 meV/atom
Space group ... No. 15
N(E_F) ... 0.0 states/eV/cell
Uncorrected formation energy ... -1.84 eV per atom

Lattice parameters (Å, degrees): 7.1549 7.1549 6.6448 112.39 112.39 92.65
With the nearest neighbours (Å) after each atom.
Positions (direct):
1 Pm 0.0961 0.9039 0.7500  4 S 2.74, 1 Se 2.86
2 Pm 0.3392 0.6608 0.2500  4 S 2.81-2.87, 1 Se 2.98
3 Pm 0.6608 0.3392 0.7500  4 S 2.81-2.87, 1 Se 2.98
4 Pm 0.9039 0.0961 0.2500  4 S 2.74, 1 Se 2.86
5 Se 0.3728 0.6272 0.7500  2 Pm 2.86-2.98
6 Se 0.6272 0.3728 0.2500  2 Pm 2.86-2.98
7 S 0.0533 0.2808 0.0312  4 Pm 2.74-2.87
8 S 0.2808 0.0533 0.5312  4 Pm 2.74-2.87
9 S 0.7192 0.9467 0.4688  4 Pm 2.74-2.87
10 S 0.9467 0.7192 0.9688  4 Pm 2.74-2.87

---

# 5
Crystalline Pm3Se2S2 at its relaxed geometry, computed with PBE-GGA.

Summary:
Space group ... No. 12
N(E_F) ... 1.7 states/eV/cell
Uncorrected formation energy ... -1.97 eV per atom

Lattice parameters (Å, degrees): 7.0274 7.0274 7.2893 99.75 99.75 33.81
With the nearest neighbours (Å) after each atom.
Positions (direct):
1 Pm 0.0000 0.0000 0.0000  4 S 2.86, 2 Se 2.91
2 Pm 0.2395 0.2395 0.7472  3 S 2.85-2.89, 3 Se 2.91-2.95
3 Pm 0.7605 0.7605 0.2528  3 S 2.85-2.89, 3 Se 2.91-2.95
4 Se 0.1260 0.1260 0.3686  4 Pm 2.91-2.95
5 Se 0.8740 0.8740 0.6314  4 Pm 2.91-2.95
6 S 0.3719 0.3719 0.1056  5 Pm 2.85-2.89
7 S 0.6281 0.6281 0.8944  5 Pm 2.85-2.89

---

# 6
Crystalline Pm8Se6S at its relaxed geometry, computed with PBE-GGA.

Summary:
Space group ... No. 147
N(E_F) ... 10.1 states/eV/cell
Uncorrected formation energy ... -1.39 eV per atom

Lattice parameters (Å, degrees): 10.5552 10.5552 4.2683 90.00 90.00 120.00
With the nearest neighbours (Å) after each atom.
Positions (direct):
1 Pm 0.0327 0.7174 0.2640  4 Se 2.85-3.13
2 Pm 0.2826 0.3153 0.2640  4 Se 2.85-3.13
3 Pm 0.3153 0.0327 0.7360  4 Se 2.85-3.13
4 Pm 0.3333 0.6667 0.7441  6 Se 2.97-2.98
5 Pm 0.6667 0.3333 0.2559  6 Se 2.97-2.98
6 Pm 0.6847 0.9673 0.2640  4 Se 2.85-3.13
7 Pm 0.7174 0.6847 0.7360  4 Se 2.85-3.13
8 Pm 0.9673 0.2826 0.7360  4 Se 2.85-3.13
9 Se 0.1280 0.4804 0.2428  6 Pm 2.85-3.13
10 Se 0.3524 0.8720 0.2428  6 Pm 2.85-3.13
11 Se 0.4804 0.3524 0.7572  6 Pm 2.85-3.13
12 Se 0.5196 0.6476 0.2428  6 Pm 2.85-3.13
13 Se 0.6476 0.1280 0.7572  6 Pm 2.85-3.13
14 Se 0.8720 0.5196 0.7572  6 Pm 2.85-3.13
15 S 0.0000 0.0000 0.5000  6 Pm 3.33

---

# 7
Crystalline Pm2Se2S at its relaxed geometry, computed with PBE-GGA.

Summary:
Distance to the lowest polymorph of the same formula ... 0 meV/atom
Space group ... No. 72
N(E_F) ... 0.9 states/eV/cell
Uncorrected formation energy ... -1.87 eV per atom

Lattice parameters (Å, degrees): 7.5311 7.5311 7.5311 117.99 83.25 130.41
With the nearest neighbours (Å) after each atom.
Positions (direct):
1 Pm 0.1091 0.2469 0.3560  2 S 2.77, 3 Se 2.92-3.01
2 Pm 0.3909 0.7469 0.1378  2 S 2.77, 3 Se 2.92-3.01
3 Pm 0.6091 0.2531 0.8622  2 S 2.77, 3 Se 2.92-3.01
4 Pm 0.8909 0.7531 0.6440  2 S 2.77, 3 Se 2.92-3.01
5 Se 0.1444 0.6318 0.7762  3 Pm 2.92-3.01
6 Se 0.3556 0.1318 0.4874  3 Pm 2.92-3.01
7 Se 0.6444 0.8682 0.5126  3 Pm 2.92-3.01
8 Se 0.8556 0.3682 0.2238  3 Pm 2.92-3.01
9 S 0.2500 0.2500 0.0000  4 Pm 2.77
10 S 0.7500 0.7500 0.0000  4 Pm 2.77

---

# 8
Crystalline Pm4Se3S at its relaxed geometry, computed with PBE-GGA.

Summary:
Distance to the lowest polymorph of the same formula ... 0 meV/atom
Space group ... No. 65
N(E_F) ... 3.6 states/eV/cell
Uncorrected formation energy ... -1.89 eV per atom

Lattice parameters (Å, degrees): 7.2315 7.2315 4.1227 90.00 90.00 109.11
With the nearest neighbours (Å) after each atom.
Positions (direct):
1 Pm 0.2312 0.2312 0.5000  2 S 2.83, 4 Se 2.95-3.05
2 Pm 0.2392 0.7608 0.0000  1 S 2.82, 5 Se 2.94-3.07
3 Pm 0.7608 0.2392 0.0000  1 S 2.82, 5 Se 2.94-3.07
4 Pm 0.7688 0.7688 0.5000  2 S 2.83, 4 Se 2.95-3.05
5 Se 0.0000 0.5000 0.5000  6 Pm 2.94-2.95
6 Se 0.5000 0.0000 0.5000  6 Pm 2.94-2.95
7 Se 0.5000 0.5000 0.0000  6 Pm 3.05-3.07
8 S 0.0000 0.0000 0.0000  6 Pm 2.82-2.83

---

# 9
Crystalline Pm4Se4S at its relaxed geometry, computed with PBE-GGA.

Summary:
Space group ... No. 121
N(E_F) ... 4.2 states/eV/cell
Uncorrected formation energy ... -1.61 eV per atom

Lattice parameters (Å, degrees): 7.9143 7.9143 7.9143 127.91 127.91 76.78
With the nearest neighbours (Å) after each atom.
Positions (direct):
1 Pm 0.0875 0.6505 0.0000  1 S 2.69, 4 Se 2.92-2.96
2 Pm 0.3495 0.3495 0.4370  1 S 2.69, 4 Se 2.92-2.96
3 Pm 0.6505 0.0875 0.0000  1 S 2.69, 4 Se 2.92-2.96
4 Pm 0.9125 0.9125 0.5630  1 S 2.69, 4 Se 2.92-2.96
5 Se 0.0000 0.5000 0.5000  4 Pm 2.96
6 Se 0.2902 0.2902 0.0000  4 Pm 2.92-2.93
7 Se 0.5000 0.0000 0.5000  4 Pm 2.96
8 Se 0.7098 0.7098 0.0000  4 Pm 2.92-2.93
9 S 0.0000 0.0000 0.0000  4 Pm 2.69